# AlCrMo | the Alexandria database | PBE | relaxed
data_AlCrMo
_space_group_name_H-M_alt 'P 1 21/m 1'
_space_group_IT_number 11
_cell_length_a 4.3139
_cell_length_b 4.4237
_cell_length_c 4.9424
_cell_angle_alpha 90.00
_cell_angle_beta 115.83
_cell_angle_gamma 90.00
loop_
_space_group_symop_operation_xyz
'x,y,z'
'-x,-y,-z'
'-x,y+1/2,-z'
'x,-y+1/2,z'
loop_
_atom_site_label
_atom_site_type_symbol
_atom_site_fract_x
_atom_site_fract_y
_atom_site_fract_z
Al1 Al 0.0784 0.2500 0.1523
Cr1 Cr 0.4036 0.2500 0.8050
Mo1 Mo 0.2477 0.7500 0.4980
# E above lowest polymorph = 0.066 eV/atom
# total magnetic moment = 0.000 μB per formula unit
# crystal system = monoclinic